Record 1
First-principles (PBE) data for Ca2ZnGe2Rh5 after structural relaxation, as listed in the Alexandria database.

Calculated values
ΔE_f	-5.85	eV/f.u.
Fermi-level density of states	0.521	states/eV/atom

Structure (CIF):
```
data_Ca2ZnGe2Rh5
_chemical_formula_sum 'Ca4 Zn2 Ge4 Rh10'
_space_group_name_H-M_alt 'P 4/m b m'
_space_group_IT_number 127
_space_group_name_Hall '-P 4 2ab'
_cell_length_a 9.990
_cell_length_b 9.990
_cell_length_c 3.369
_cell_angle_alpha 90.00
_cell_angle_beta 90.00
_cell_angle_gamma 90.00
loop_
_atom_site_label
_atom_site_type_symbol
_atom_site_fract_x
_atom_site_fract_y
_atom_site_fract_z
_atom_site_occupancy
Ca1 Ca 0.172 0.328 0.000 1
Zn1 Zn 0.000 0.000 0.000 1
Ge1 Ge 0.129 0.629 0.000 1
Rh1 Rh 0.000 0.500 0.500 1
Rh2 Rh 0.066 0.797 0.500 1
```

***

Record 2
First-principles (PBE) data for Al2SnCl after structural relaxation, as listed in the Alexandria database.

Calculated values
formation energy from raw total energies	0.101	eV per atom
Fermi-level density of states	0.677	states/eV/atom

Structure (CIF):
```
data_Al2SnCl
_chemical_formula_sum 'Al8 Sn4 Cl4'
_space_group_name_H-M_alt 'I -4 2 d'
_space_group_IT_number 122
_space_group_name_Hall 'I -4 2bw'
_cell_length_a 5.829
_cell_length_b 5.829
_cell_length_c 13.767
_cell_angle_alpha 90.00
_cell_angle_beta 90.00
_cell_angle_gamma 90.00
loop_
_atom_site_label
_atom_site_type_symbol
_atom_site_fract_x
_atom_site_fract_y
_atom_site_fract_z
_atom_site_occupancy
Al1 Al 0.245 0.250 0.125 1
Sn1 Sn 0.000 0.000 0.500 1
Cl1 Cl 0.000 0.000 0.000 1
```

***

Record 3
First-principles (PBE) data for Rb3Pu3VTe8 after structural relaxation, as listed in the Alexandria database.

Calculated values
formation energy from raw total energies	-0.903	eV per atom
Fermi-level density of states	2.573	states/eV/atom

Structure (CIF):
```
data_Rb3Pu3VTe8
_chemical_formula_sum 'Rb9 Pu9 V3 Te24'
_space_group_name_H-M_alt 'R -3 m'
_space_group_IT_number 166
_space_group_name_Hall '-R 3 2"'
_cell_length_a 8.8154
_cell_length_b 8.8154
_cell_length_c 26.2635
_cell_angle_alpha 90.00
_cell_angle_beta 90.00
_cell_angle_gamma 120.00
loop_
_atom_site_label
_atom_site_type_symbol
_atom_site_fract_x
_atom_site_fract_y
_atom_site_fract_z
_atom_site_occupancy
Rb1 Rb 0.0000 0.5000 0.0000 1
Pu1 Pu 0.0000 0.5000 0.5000 1
V1 V 0.0000 0.0000 0.5000 1
Te1 Te 0.0000 0.0000 0.2341 1
Te2 Te 0.0246 0.5123 0.2283 1
```

***

Record 4
First-principles (PBE) data for Ga2TePbO8 after structural relaxation, as listed in the Alexandria database.

Calculated values
formation energy from raw total energies	-1.254	eV per atom
Fermi-level density of states	0.077	states/eV/atom

Structure (CIF):
```
data_Ga2TePbO8
_chemical_formula_sum 'Ga4 Te2 Pb2 O16'
_space_group_name_H-M_alt 'C m m m'
_space_group_IT_number 65
_space_group_name_Hall '-C 2 2'
_cell_length_a 6.545
_cell_length_b 6.717
_cell_length_c 6.408
_cell_angle_alpha 90.00
_cell_angle_beta 90.00
_cell_angle_gamma 90.00
loop_
_atom_site_label
_atom_site_type_symbol
_atom_site_fract_x
_atom_site_fract_y
_atom_site_fract_z
_atom_site_occupancy
Ga1 Ga 0.000 0.000 0.247 1
Te1 Te 0.000 0.500 0.000 1
Pb1 Pb 0.000 0.500 0.500 1
O1 O 0.000 0.302 0.224 1
O2 O 0.179 0.000 0.500 1
O3 O 0.199 0.000 0.000 1
```

***

Record 5
First-principles (PBE) data for RbBiCl2 after structural relaxation, as listed in the Alexandria database.

Calculated values
formation energy from raw total energies	-0.824	eV per atom
Fermi-level density of states	0.028	states/eV/atom

Structure (CIF):
```
data_RbBiCl2
_chemical_formula_sum 'Rb4 Bi4 Cl8'
_space_group_name_H-M_alt 'I -4 2 d'
_space_group_IT_number 122
_space_group_name_Hall 'I -4 2bw'
_cell_length_a 6.026
_cell_length_b 6.026
_cell_length_c 17.994
_cell_angle_alpha 90.00
_cell_angle_beta 90.00
_cell_angle_gamma 90.00
loop_
_atom_site_label
_atom_site_type_symbol
_atom_site_fract_x
_atom_site_fract_y
_atom_site_fract_z
_atom_site_occupancy
Rb1 Rb 0.000 0.000 0.000 1
Bi1 Bi 0.000 0.000 0.500 1
Cl1 Cl 0.176 0.250 0.625 1
```

***

Record 6
First-principles (PBE) data for K2FeMoS after structural relaxation, as listed in the Alexandria database.

Calculated values
formation energy from raw total energies	1.170	eV per atom
Fermi-level density of states	1.696	states/eV/atom

Structure (CIF):
```
data_K2FeMoS
_chemical_formula_sum 'K2 Fe1 Mo1 S1'
_space_group_name_H-M_alt 'P 4/m m m'
_space_group_IT_number 123
_space_group_name_Hall '-P 4 2'
_cell_length_a 6.010
_cell_length_b 6.010
_cell_length_c 4.268
_cell_angle_alpha 90.00
_cell_angle_beta 90.00
_cell_angle_gamma 90.00
loop_
_atom_site_label
_atom_site_type_symbol
_atom_site_fract_x
_atom_site_fract_y
_atom_site_fract_z
_atom_site_occupancy
K1 K 0.000 0.500 0.000 1
Fe1 Fe 0.000 0.000 0.000 1
Mo1 Mo 0.000 0.000 0.500 1
S1 S 0.500 0.500 0.500 1
```

***

Please write out number 2 again, unchanged.
First-principles (PBE) data for Al2SnCl after structural relaxation, as listed in the Alexandria database.

Calculated values
formation energy from raw total energies	0.101	eV per atom
Fermi-level density of states	0.677	states/eV/atom

Structure (CIF):
```
data_Al2SnCl
_chemical_formula_sum 'Al8 Sn4 Cl4'
_space_group_name_H-M_alt 'I -4 2 d'
_space_group_IT_number 122
_space_group_name_Hall 'I -4 2bw'
_cell_length_a 5.829
_cell_length_b 5.829
_cell_length_c 13.767
_cell_angle_alpha 90.00
_cell_angle_beta 90.00
_cell_angle_gamma 90.00
loop_
_atom_site_label
_atom_site_type_symbol
_atom_site_fract_x
_atom_site_fract_y
_atom_site_fract_z
_atom_site_occupancy
Al1 Al 0.245 0.250 0.125 1
Sn1 Sn 0.000 0.000 0.500 1
Cl1 Cl 0.000 0.000 0.000 1
```

***

Q: Number 2 is which compound?
A: Al2SnCl